1.
## Be2InOs (GGA-PBE)

Data for crystalline Be2InOs at its relaxed geometry.

Cell lengths 8.5885, 8.5885, 8.5885 Å; angles 153.23, 153.23, 38.22 degrees
Atoms (fractional coordinates):
Be 0.3750 0.1802 0.3052
Be 0.8198 0.1250 0.1948
Be 0.8750 0.0698 0.6948
Be 0.9302 0.6250 0.8052
In 0.2500 0.7500 0.5000
In 0.5000 0.5000 0.0000
Os 0.0000 0.0000 0.0000
Os 0.7500 0.2500 0.5000

Results
Formation energy, meV/atom: 529

2.
## AlGeCl5 (GGA-PBE)

Data for crystalline AlGeCl5 at its relaxed geometry.

Cell lengths 7.1092, 7.1092, 10.3320 Å; angles 110.03, 110.03, 84.68 degrees
Atoms (fractional coordinates):
Al 0.1518 0.8482 0.5000
Al 0.8482 0.1518 0.0000
Ge 0.0153 0.5164 0.7694
Ge 0.5164 0.0153 0.2694
Cl 0.1216 0.1872 0.1817
Cl 0.1624 0.5914 0.5700
Cl 0.1872 0.1216 0.6817
Cl 0.2936 0.6163 0.9576
Cl 0.4043 0.8113 0.4213
Cl 0.5914 0.1624 0.0700
Cl 0.6163 0.2936 0.4576
Cl 0.8113 0.4043 0.9213
Cl 0.8234 0.8786 0.8152
Cl 0.8786 0.8234 0.3152

Results
Uncorrected formation energy, eV/atom: -1.196

3.
## Dy9AlTl2 (GGA-PBE)

Data for crystalline Dy9AlTl2 at its relaxed geometry.

Cell lengths 4.8180, 4.8180, 14.4611 Å; angles 90.00, 90.00, 90.00 degrees
Atoms (fractional coordinates):
Dy 0.0000 0.0000 0.0000
Dy 0.0000 0.0000 0.3307
Dy 0.0000 0.0000 0.6693
Dy 0.0000 0.5000 0.1599
Dy 0.0000 0.5000 0.5000
Dy 0.0000 0.5000 0.8401
Dy 0.5000 0.0000 0.1599
Dy 0.5000 0.0000 0.5000
Dy 0.5000 0.0000 0.8401
Al 0.5000 0.5000 0.0000
Tl 0.5000 0.5000 0.3316
Tl 0.5000 0.5000 0.6684

Results
Formation energy, meV/atom: -183

4.
## HoTmSiRh (GGA-PBE)

Data for crystalline HoTmSiRh at its relaxed geometry.

Cell lengths 3.9907, 5.6107, 5.6107 Å; angles 42.69, 90.00, 90.00 degrees
Atoms (fractional coordinates):
Ho 0.0000 0.0000 0.0000
Tm 0.5000 0.7179 0.7179
Si 0.0000 0.2881 0.2881
Rh 0.5000 0.4352 0.4352

Results
Uncorrected formation energy, eV/atom: -0.868

5.
## Rb2BO3 (GGA-PBE)

Data for crystalline Rb2BO3 at its relaxed geometry.

Cell lengths 6.1960, 6.1960, 7.4534 Å; angles 90.00, 90.00, 120.00 degrees
Atoms (fractional coordinates):
Rb 0.0000 0.0000 0.0000
Rb 0.0000 0.0000 0.5000
Rb 0.3333 0.6667 0.2493
Rb 0.6667 0.3333 0.7507
B 0.3333 0.6667 0.7501
B 0.6667 0.3333 0.2499
O 0.2056 0.4112 0.7502
O 0.2056 0.7944 0.7502
O 0.4112 0.2056 0.2498
O 0.5888 0.7944 0.7502
O 0.7944 0.2056 0.2498
O 0.7944 0.5888 0.2498

Results
Uncorrected formation energy, eV/atom: -1.853
ΔE to the lowest computed polymorph, eV per formula unit: 0.00

6.
## TmNiH (GGA-PBE)

Data for crystalline TmNiH at its relaxed geometry.

Cell lengths 4.6750, 4.6750, 4.6750 Å; angles 137.80, 137.80, 61.21 degrees
Atoms (fractional coordinates):
Tm 0.0000 0.0000 0.0000
Ni 0.6608 0.6608 0.0000
H 0.4615 0.4615 0.0000

Results
ΔE to the lowest computed polymorph, eV per formula unit: 0.77

7.
## Nd2TlAgS4 (GGA-PBE)

Data for crystalline Nd2TlAgS4 at its relaxed geometry.

Cell lengths 7.2276, 7.2276, 14.5736 Å; angles 90.00, 90.00, 146.55 degrees
Atoms (fractional coordinates):
Nd 0.1320 0.8680 0.5653
Nd 0.1320 0.8680 0.9347
Nd 0.8680 0.1320 0.0653
Nd 0.8680 0.1320 0.4347
Tl 0.3876 0.6124 0.7500
Tl 0.6124 0.3876 0.2500
Ag 0.3346 0.6654 0.2500
Ag 0.6654 0.3346 0.7500
S 0.0579 0.9421 0.7500
S 0.2358 0.7642 0.1040
S 0.2358 0.7642 0.3960
S 0.5000 0.5000 0.0000
S 0.5000 0.5000 0.5000
S 0.7642 0.2358 0.6040
S 0.7642 0.2358 0.8960
S 0.9421 0.0579 0.2500

Results
Uncorrected formation energy, eV/atom: -1.373

8.
## ThRuAu (GGA-PBE)

Data for crystalline ThRuAu at its relaxed geometry.

Cell lengths 4.5563, 4.5563, 3.7399 Å; angles 90.00, 90.00, 120.00 degrees
Atoms (fractional coordinates):
Th 0.0000 0.0000 0.0000
Ru 0.6667 0.3333 0.5000
Au 0.3333 0.6667 0.5000

Results
Formation energy, meV/atom: -243
ΔE to the lowest computed polymorph, eV per formula unit: 0.75

9.
## Tb4Sb5H (GGA-PBE)

Data for crystalline Tb4Sb5H at its relaxed geometry.

Cell lengths 8.7509, 8.7509, 7.9365 Å; angles 106.35, 106.35, 28.61 degrees
Atoms (fractional coordinates):
Tb 0.0420 0.0420 0.2517
Tb 0.3572 0.3572 0.0546
Tb 0.6428 0.6428 0.9454
Tb 0.9580 0.9580 0.7483
Sb 0.1429 0.1429 0.6493
Sb 0.2126 0.2126 0.2235
Sb 0.5000 0.5000 0.5000
Sb 0.7874 0.7874 0.7765
Sb 0.8571 0.8571 0.3507
H 0.5000 0.5000 0.0000

10.
## TbInRu (GGA-PBE)

Data for crystalline TbInRu at its relaxed geometry.

Cell lengths 4.6618, 4.6618, 4.6618 Å; angles 60.00, 60.00, 60.00 degrees
Atoms (fractional coordinates):
Tb 0.0000 0.0000 0.0000
In 0.5000 0.5000 0.5000
Ru 0.2500 0.2500 0.2500

Results
Formation energy, meV/atom: -188

11.
## La5Dy6Er2 (GGA-PBE)

Data for crystalline La5Dy6Er2 at its relaxed geometry.

Cell lengths 11.6896, 20.7730, 3.6308 Å; angles 90.00, 90.00, 90.00 degrees
Atoms (fractional coordinates):
La 0.0000 0.0000 0.0000
La 0.0784 0.2719 0.0000
La 0.1990 0.5505 0.0000
La 0.3010 0.0505 0.0000
La 0.4216 0.7719 0.0000
La 0.5000 0.5000 0.0000
La 0.5784 0.2281 0.0000
La 0.6990 0.9495 0.0000
La 0.8010 0.4495 0.0000
La 0.9216 0.7281 0.0000
Dy 0.0634 0.4187 0.5000
Dy 0.0791 0.1316 0.5000
Dy 0.1766 0.8597 0.0000
Dy 0.3234 0.3597 0.0000
Dy 0.4209 0.6316 0.5000
Dy 0.4366 0.9187 0.5000
Dy 0.5634 0.0813 0.5000
Dy 0.5791 0.3684 0.5000
Dy 0.6766 0.6403 0.0000
Dy 0.8234 0.1403 0.0000
Dy 0.9209 0.8684 0.5000
Dy 0.9366 0.5813 0.5000
Er 0.1751 0.7110 0.5000
Er 0.3249 0.2110 0.5000
Er 0.6751 0.7890 0.5000
Er 0.8249 0.2890 0.5000

Results
Formation energy, meV/atom: 94

12.
## BeGaTe2H (GGA-PBE)

Data for crystalline BeGaTe2H at its relaxed geometry.

Cell lengths 5.4734, 5.4734, 4.3349 Å; angles 90.00, 90.00, 90.00 degrees
Atoms (fractional coordinates):
Be 0.0000 0.0000 0.0000
Ga 0.0000 0.0000 0.5000
Te 0.0000 0.5000 0.5000
Te 0.5000 0.0000 0.5000
H 0.5000 0.5000 0.0000

Results
ΔE to the lowest computed polymorph, eV per formula unit: 2.99

13.
## LiTbAg (GGA-PBE)

Data for crystalline LiTbAg at its relaxed geometry.

Cell lengths 3.5845, 3.5845, 10.3101 Å; angles 90.00, 90.00, 90.00 degrees
Atoms (fractional coordinates):
Li 0.2500 0.2500 0.0697
Li 0.7500 0.7500 0.9303
Tb 0.2500 0.2500 0.3798
Tb 0.7500 0.7500 0.6202
Ag 0.2500 0.2500 0.7958
Ag 0.7500 0.7500 0.2042

Results
Formation energy, meV/atom: -175
ΔE to the lowest computed polymorph, eV per formula unit: 0.03

14.
## La2AgSn3Rh4 (GGA-PBE)

Data for crystalline La2AgSn3Rh4 at its relaxed geometry.

Cell lengths 4.3261, 4.3261, 11.6337 Å; angles 90.00, 90.00, 90.00 degrees
Atoms (fractional coordinates):
La 0.0000 0.5000 0.2383
La 0.5000 0.0000 0.7617
Ag 0.5000 0.5000 0.0000
Sn 0.0000 0.0000 0.0000
Sn 0.0000 0.5000 0.6267
Sn 0.5000 0.0000 0.3733
Rh 0.0000 0.0000 0.5000
Rh 0.0000 0.5000 0.8519
Rh 0.5000 0.0000 0.1481
Rh 0.5000 0.5000 0.5000

Results
Formation energy, meV/atom: -642

15.
## ZrNb7 (GGA-PBE)

Data for crystalline ZrNb7 at its relaxed geometry.

Cell lengths 6.6906, 6.6906, 6.6906 Å; angles 90.01, 90.01, 90.01 degrees
Atoms (fractional coordinates):
Zr 0.1286 0.1286 0.1286
Zr 0.8714 0.8714 0.8714
Nb 0.1284 0.6214 0.6214
Nb 0.1287 0.1287 0.6206
Nb 0.1287 0.6206 0.1287
Nb 0.3788 0.3788 0.3788
Nb 0.3786 0.3786 0.8716
Nb 0.3794 0.8713 0.8713
Nb 0.3786 0.8716 0.3786
Nb 0.6214 0.1284 0.6214
Nb 0.6206 0.1287 0.1287
Nb 0.6214 0.6214 0.1284
Nb 0.6212 0.6212 0.6212
Nb 0.8713 0.3794 0.8713
Nb 0.8713 0.8713 0.3794
Nb 0.8716 0.3786 0.3786

Results
Formation energy, meV/atom: 19

16.
## Tb5Ga2Pd2 (GGA-PBE)

Data for crystalline Tb5Ga2Pd2 at its relaxed geometry.

Cell lengths 8.6209, 8.6209, 7.1875 Å; angles 90.00, 90.00, 57.50 degrees
Atoms (fractional coordinates):
Tb 0.0000 0.0000 0.0000
Tb 0.0467 0.6852 0.6545
Tb 0.1852 0.5467 0.1545
Tb 0.3148 0.9533 0.6545
Tb 0.4533 0.8148 0.1545
Tb 0.5000 0.5000 0.5000
Tb 0.5467 0.1852 0.8455
Tb 0.6852 0.0467 0.3455
Tb 0.8148 0.4533 0.8455
Tb 0.9533 0.3148 0.3455
Ga 0.2062 0.2062 0.0000
Ga 0.2938 0.2938 0.5000
Ga 0.7062 0.7062 0.5000
Ga 0.7938 0.7938 0.0000
Pd 0.1264 0.8736 0.3686
Pd 0.3736 0.6264 0.8686
Pd 0.6264 0.3736 0.1314
Pd 0.8736 0.1264 0.6314

Results
Formation energy, meV/atom: -601

17.
## BeHg3Pt (GGA-PBE)

Data for crystalline BeHg3Pt at its relaxed geometry.

Cell lengths 5.3157, 5.3157, 5.3157 Å; angles 90.00, 90.00, 90.00 degrees
Atoms (fractional coordinates):
Be 0.0000 0.0000 0.0000
Hg 0.0000 0.5000 0.5000
Hg 0.5000 0.0000 0.5000
Hg 0.5000 0.5000 0.0000
Pt 0.5000 0.5000 0.5000

Results
Formation energy, meV/atom: 621
ΔE to the lowest computed polymorph, eV per formula unit: 0.26

18.
## Sm2Se2S (GGA-PBE)

Data for crystalline Sm2Se2S at its relaxed geometry.

Cell lengths 6.9997, 6.9997, 9.7053 Å; angles 90.00, 90.00, 146.18 degrees
Atoms (fractional coordinates):
Sm 0.0000 0.0000 0.0000
Sm 0.0000 0.0000 0.5000
Sm 0.2622 0.7378 0.7500
Sm 0.7378 0.2622 0.2500
Se 0.3514 0.6486 0.0668
Se 0.3514 0.6486 0.4332
Se 0.6486 0.3514 0.5668
Se 0.6486 0.3514 0.9332
S 0.0969 0.9031 0.2500
S 0.9031 0.0969 0.7500

Results
Uncorrected formation energy, eV/atom: -1.945
ΔE to the lowest computed polymorph, eV per formula unit: 0.00

19.
## Na3PbF (GGA-PBE)

Data for crystalline Na3PbF at its relaxed geometry.

Cell lengths 6.0149, 6.0149, 6.0149 Å; angles 90.00, 90.00, 90.00 degrees
Atoms (fractional coordinates):
Na 0.0000 0.0000 0.5000
Na 0.0000 0.5000 0.0000
Na 0.5000 0.0000 0.0000
Pb 0.0000 0.0000 0.0000
F 0.5000 0.5000 0.5000

Results
Uncorrected formation energy, eV/atom: -0.258
ΔE to the lowest computed polymorph, eV per formula unit: 4.11

20.
## Sm12ErTm5 (GGA-PBE)

Data for crystalline Sm12ErTm5 at its relaxed geometry.

Cell lengths 10.7376, 10.7376, 5.0736 Å; angles 90.00, 90.00, 90.23 degrees
Atoms (fractional coordinates):
Sm 0.0014 0.6680 0.5000
Sm 0.1654 0.1654 0.0000
Sm 0.1683 0.5016 0.0000
Sm 0.3320 0.9986 0.5000
Sm 0.3351 0.3351 0.5000
Sm 0.4984 0.8317 0.0000
Sm 0.5016 0.1683 0.0000
Sm 0.6649 0.6649 0.5000
Sm 0.6680 0.0014 0.5000
Sm 0.8317 0.4984 0.0000
Sm 0.8346 0.8346 0.0000
Sm 0.9986 0.3320 0.5000
Er 0.0000 0.0000 0.5000
Tm 0.1667 0.8333 0.0000
Tm 0.3332 0.6668 0.5000
Tm 0.5000 0.5000 0.0000
Tm 0.6668 0.3332 0.5000
Tm 0.8333 0.1667 0.0000

Results
Formation energy, meV/atom: 22

21.
## BaAsPt2 (GGA-PBE)

Data for crystalline BaAsPt2 at its relaxed geometry.

Cell lengths 4.4989, 4.4989, 6.1978 Å; angles 111.35, 111.35, 60.01 degrees
Atoms (fractional coordinates):
Ba 0.0000 0.0000 0.0000
As 0.5000 0.5000 0.5000
Pt 0.1965 0.1965 0.5894
Pt 0.8035 0.8035 0.4106

Results
Formation energy, meV/atom: -656

22.
## BeFe2As (GGA-PBE)

Data for crystalline BeFe2As at its relaxed geometry.

Cell lengths 4.3885, 4.3885, 2.6585 Å; angles 99.08, 99.08, 109.62 degrees
Atoms (fractional coordinates):
Be 0.0000 0.0000 0.0000
Fe 0.0000 0.5000 0.5000
Fe 0.5000 0.0000 0.5000
As 0.5000 0.5000 0.0000

Results
Formation energy, meV/atom: 147
ΔE to the lowest computed polymorph, eV per formula unit: 1.06

Number 1: DFT total energy -4.83 eV per atom, mass density 8.36 Mg/m³. Number 2: DFT total energy -3.71 eV per atom, mass density 2.00 Mg/m³. Number 3: DFT total energy -4.34 eV per atom, mass density 9.39 Mg/m³. Number 4: DFT total energy -6.32 eV per atom, mass density 9.06 Mg/m³. Number 5: DFT total energy -5.77 eV per atom, mass density 3.08 Mg/m³. Number 6: DFT total energy -4.73 eV per atom, mass density 8.33 Mg/m³. Number 7: DFT total energy -5.28 eV per atom, mass density 5.77 Mg/m³. Number 8: DFT total energy -6.90 eV per atom, mass density 13.09 Mg/m³. Number 9: DFT total energy -4.75 eV per atom, mass density 7.43 Mg/m³. Number 10: DFT total energy -5.74 eV per atom, mass density 8.69 Mg/m³. Number 11: DFT total energy -4.63 eV per atom, mass density 7.55 Mg/m³. Number 12: DFT total energy -2.31 eV per atom, mass density 4.28 Mg/m³. Number 13: DFT total energy -3.31 eV per atom, mass density 6.86 Mg/m³. Number 14: DFT total energy -6.05 eV per atom, mass density 8.80 Mg/m³. Number 15: DFT total energy -9.86 eV per atom, mass density 8.22 Mg/m³. Number 16: DFT total energy -5.00 eV per atom, mass density 8.45 Mg/m³. Number 17: DFT total energy -1.51 eV per atom, mass density 8.91 Mg/m³. Number 18: DFT total energy -6.05 eV per atom, mass density 6.16 Mg/m³. Number 19: DFT total energy -2.17 eV per atom, mass density 2.25 Mg/m³. Number 20: DFT total energy -4.62 eV per atom, mass density 7.99 Mg/m³. Number 21: DFT total energy -5.32 eV per atom, mass density 10.15 Mg/m³. Number 22: DFT total energy -6.18 eV per atom, mass density 7.00 Mg/m³.